This record from Alexandria via LeMat-Bulk describes an optimized crystal structure of Pm5TmCd3. The functional is PBE.

The formation enthalpy at 0 K comes out at -0.18 eV per atom. The calculation puts the total magnetization at 0.00 Bohr magnetons per cell. The space group is P6_3/mcm (193).

Unit cell a=9.3814 b=9.3814 c=6.9967 alpha=90.00 beta=90.00 gamma=120.00
Fractional positions:
Pm 0.0000 0.3333 0.2500
Pm 0.0000 0.6667 0.7500
Pm 0.3333 0.0000 0.2500
Pm 0.3333 0.3333 0.7500
Pm 0.3333 0.6667 0.0000
Pm 0.3333 0.6667 0.5000
Pm 0.6667 0.0000 0.7500
Pm 0.6667 0.3333 0.0000
Pm 0.6667 0.3333 0.5000
Pm 0.6667 0.6667 0.2500
Tm 0.0000 0.0000 0.0000
Tm 0.0000 0.0000 0.5000
Cd 0.0000 0.3292 0.7500
Cd 0.0000 0.6708 0.2500
Cd 0.3292 0.0000 0.7500
Cd 0.3292 0.3292 0.2500
Cd 0.6708 0.0000 0.2500
Cd 0.6708 0.6708 0.7500

=====

This record from Alexandria via LeMat-Bulk describes an optimized crystal structure of NdCuAg2. The functional is PBE.

The energy above the most stable polymorph in this dataset is 0.0 meV/atom. The formation enthalpy at 0 K comes out at -0.20 eV per atom. The calculation puts the total magnetization at 0.00 Bohr magnetons per cell. The space group is C2/c (15).

Unit cell a=7.1936 b=7.1936 c=5.3427 alpha=100.83 beta=100.83 gamma=136.09
Fractional positions:
Nd 0.1362 0.8638 0.7500
Nd 0.8638 0.1362 0.2500
Cu 0.2494 0.7506 0.2500
Cu 0.7506 0.2494 0.7500
Ag 0.2439 0.4122 0.9082
Ag 0.4122 0.2439 0.4082
Ag 0.5878 0.7561 0.5918
Ag 0.7561 0.5878 0.0918

=====

This record from Alexandria via LeMat-Bulk describes an optimized crystal structure of Na2U2PtSe6. The functional is PBE.

The calculation puts the total magnetization at 4.02 Bohr magnetons per cell. The space group is C2/m (12). As for the formation energy (no corrections): -10.1 eV/f.u.

Unit cell a=6.8492 b=6.8492 c=7.5653 alpha=98.19 beta=98.19 gamma=120.32
Fractional positions:
Na 0.1631 0.8369 0.0000
Na 0.8369 0.1631 0.0000
U 0.3294 0.6706 0.5000
U 0.6706 0.3294 0.5000
Pt 0.0000 0.0000 0.5000
Se 0.0807 0.4111 0.7303
Se 0.2376 0.2376 0.2906
Se 0.4111 0.0807 0.7303
Se 0.5889 0.9193 0.2697
Se 0.7624 0.7624 0.7094
Se 0.9193 0.5889 0.2697

=====

This record from Alexandria via LeMat-Bulk describes an optimized crystal structure of Er4Tm5Mg2. The functional is PBE.

The energy above the most stable polymorph in this dataset is 0.0 meV/atom. The formation enthalpy at 0 K comes out at 0.02 eV per atom. The calculation puts the total magnetization at 0.00 Bohr magnetons per cell. The space group is P-1 (2).

Unit cell a=3.4417 b=8.0258 c=11.8985 alpha=89.52 beta=89.92 gamma=77.67
Fractional positions:
Er 0.0526 0.3917 0.2943
Er 0.3662 0.7634 0.1820
Er 0.6338 0.2366 0.8180
Er 0.9474 0.6083 0.7057
Tm 0.0000 0.5000 0.0000
Tm 0.2590 0.9877 0.6285
Tm 0.3182 0.8659 0.9019
Tm 0.6818 0.1341 0.0981
Tm 0.7410 0.0123 0.3715
Mg 0.4062 0.6755 0.4568
Mg 0.5938 0.3245 0.5432

=====

Record-wise raw total energy values, in eV/cell: -65.2 -30.7 -62.3 -43.6